Compound: Pr2Zn2Ge
Source: Alexandria
Functional: PBE-GGA
Structure: optimized geometry

Output
Density of states at the Fermi level in states/eV/atom: 0.9132
Theoretical density in g/cm3: 6.600
Energy of formation from the pure elements in eV/atom: -0.50

abc: 6.0648 6.0648 11.3122
angles: 114.49 114.49 40.87
Closest atoms and distances in Å follow each position.
Sites, in units of the cell vectors:
Pr (0.1005, 0.1005, 0.3962)  6 Zn 3.15-3.29, 2 Ge 3.16
Pr (0.2956, 0.2956, 0.8586)  4 Ge 3.17-3.38, 7 Zn 3.23-3.32
Pr (0.7044, 0.7044, 0.1414)  4 Ge 3.17-3.38, 7 Zn 3.23-3.32
Pr (0.8995, 0.8995, 0.6038)  6 Zn 3.15-3.29, 2 Ge 3.16
Zn (0.0362, 0.0362, 0.9140)  1 Zn 2.42, 2 Ge 2.50
Zn (0.3736, 0.3736, 0.3835)  1 Ge 2.60
Zn (0.6264, 0.6264, 0.6165)  1 Ge 2.60
Zn (0.9638, 0.9638, 0.0860)  1 Zn 2.42, 2 Ge 2.50
Ge (0.4270, 0.4270, 0.1825)  3 Zn 2.50-2.60
Ge (0.5730, 0.5730, 0.8175)  3 Zn 2.50-2.60